Entry 1:
{
  "formula": "Sm4Ga3Ag",
  "functional": "PBE",
  "state": "relaxed",
  "cell": [[5.1659, 0.0000, 0.0000], [0.0000, 5.1659, 0.0000], [0.0000, 0.0000, 7.4235]],
  "species": ["Sm", "Sm", "Sm", "Sm", "Ga", "Ga", "Ga", "Ag"],
  "frac_coords": [[0.0000, 0.5000, 0.2458], [0.0000, 0.5000, 0.7542], [0.5000, 0.0000, 0.2458], [0.5000, 0.0000, 0.7542], [0.0000, 0.0000, 0.0000], [0.0000, 0.0000, 0.5000], [0.5000, 0.5000, 0.0000], [0.5000, 0.5000, 0.5000]],
  "dos_ef_per_ev_cell": 5.6,
  "space_group": "P4/mmm",
  "magnetic_moment_mub_per_atom": 0.0000,
  "formation_energy_ev_per_atom": -0.495
}



Entry 2:
{
  "formula": "BeRe3Ir",
  "functional": "PBE",
  "state": "relaxed",
  "cell": [[4.1093, 0.0000, 0.0000], [0.0000, 4.1093, 0.0000], [0.0000, 0.0000, 4.1093]],
  "species": ["Be", "Re", "Re", "Re", "Ir"],
  "frac_coords": [[0.0000, 0.0000, 0.0000], [0.0000, 0.0000, 0.5000], [0.0000, 0.5000, 0.0000], [0.5000, 0.0000, 0.0000], [0.5000, 0.5000, 0.5000]],
  "dos_ef_per_ev_cell": 3.8,
  "space_group": "Pm-3m",
  "magnetic_moment_mub_per_atom": 0.0000,
  "formation_energy_ev_per_atom": 0.598
}



Entry 3:
{
  "formula": "Tb2Ho4Sc",
  "functional": "PBE",
  "state": "relaxed",
  "cell": [[6.0089, 0.0000, 0.0000], [0.0000, 6.4882, 0.0000], [-2.9159, 0.0000, 10.9700]],
  "species": ["Tb", "Tb", "Tb", "Tb", "Ho", "Ho", "Ho", "Ho", "Ho", "Ho", "Ho", "Ho", "Sc", "Sc"],
  "frac_coords": [[0.1096, 0.2500, 0.0015], [0.2183, 0.2500, 0.5754], [0.7817, 0.7500, 0.4246], [0.8904, 0.7500, 0.9985], [0.1448, 0.0043, 0.2873], [0.1448, 0.4957, 0.2873], [0.3501, 0.7500, 0.5607], [0.4709, 0.7500, 0.1343], [0.5291, 0.2500, 0.8657], [0.6499, 0.2500, 0.4393], [0.8552, 0.5043, 0.7127], [0.8552, 0.9957, 0.7127], [0.3469, 0.7500, 0.8390], [0.6531, 0.2500, 0.1610]],
  "dos_ef_per_ev_cell": 24.1,
  "space_group": "P2_1/m",
  "magnetic_moment_mub_per_atom": 0.0002,
  "formation_energy_ev_per_atom": 0.144
}



Entry 4:
{
  "formula": "Rb2Li2Ti",
  "functional": "PBE",
  "state": "relaxed",
  "cell": [[8.0118, 0.0000, 0.0000], [0.0000, 8.0118, 0.0000], [0.0000, 0.0000, 6.2893]],
  "species": ["Rb", "Rb", "Rb", "Rb", "Li", "Li", "Li", "Li", "Ti", "Ti"],
  "frac_coords": [[0.1856, 0.3144, 0.0000], [0.3144, 0.8144, 0.0000], [0.6856, 0.1856, 0.0000], [0.8144, 0.6856, 0.0000], [0.1354, 0.6354, 0.5000], [0.3646, 0.1354, 0.5000], [0.6354, 0.8646, 0.5000], [0.8646, 0.3646, 0.5000], [0.0000, 0.0000, 0.5000], [0.5000, 0.5000, 0.5000]],
  "dos_ef_per_ev_cell": 18.0,
  "space_group": "P4/mbm",
  "magnetic_moment_mub_per_atom": 0.7219,
  "formation_energy_ev_per_atom": 0.720
}